#one
# PBE LaHg3Sb, optimized geometry
data_LaHg3Sb
_symmetry_space_group_name_H-M 'P m -3 m'
_symmetry_Int_Tables_number 221
_symmetry_space_group_name_Hall '-P 4 2 3'
_cell_length_a 5.929
_cell_length_b 5.929
_cell_length_c 5.929
_cell_angle_alpha 90.00
_cell_angle_beta 90.00
_cell_angle_gamma 90.00
loop_
_atom_site_label
_atom_site_type_symbol
_atom_site_fract_x
_atom_site_fract_y
_atom_site_fract_z
La1 La 0.000 0.000 0.000
Hg1 Hg 0.000 0.000 0.500
Sb1 Sb 0.500 0.500 0.500
# - Total magnetization: 0.00 μB per formula unit
# - Theoretical density: 6.9 g/cm³

#two
# PBE LaHg3Sb, optimized geometry
data_LaHg3Sb
_symmetry_space_group_name_H-M 'P m -3 m'
_symmetry_Int_Tables_number 221
_symmetry_space_group_name_Hall '-P 4 2 3'
_cell_length_a 5.476
_cell_length_b 5.476
_cell_length_c 5.476
_cell_angle_alpha 90.00
_cell_angle_beta 90.00
_cell_angle_gamma 90.00
loop_
_atom_site_label
_atom_site_type_symbol
_atom_site_fract_x
_atom_site_fract_y
_atom_site_fract_z
La1 La 0.000 0.000 0.000
Hg1 Hg 0.000 0.500 0.500
Sb1 Sb 0.500 0.500 0.500
# - Total magnetization: 0.00 μB per formula unit
# - Theoretical density: 8.7 g/cm³

#two is favored, and the nearest alternative lies 356 meV/atom above it.

#one
# PBE LaHgSb2Te, optimized geometry
data_LaHgSb2Te
_symmetry_space_group_name_H-M 'P 4/m m m'
_symmetry_Int_Tables_number 123
_symmetry_space_group_name_Hall '-P 4 2'
_cell_length_a 6.086
_cell_length_b 6.086
_cell_length_c 6.045
_cell_angle_alpha 90.00
_cell_angle_beta 90.00
_cell_angle_gamma 90.00
loop_
_atom_site_label
_atom_site_type_symbol
_atom_site_fract_x
_atom_site_fract_y
_atom_site_fract_z
La1 La 0.000 0.000 0.000
Hg1 Hg 0.000 0.000 0.500
Sb1 Sb 0.000 0.500 0.000
Te1 Te 0.500 0.500 0.500
# - Total magnetization: 0.00 μB per formula unit
# - Theoretical density: 5.3 g/cm³

#two
# PBE LaHgSb2Te, optimized geometry
data_LaHgSb2Te
_symmetry_space_group_name_H-M 'P 4/m m m'
_symmetry_Int_Tables_number 123
_symmetry_space_group_name_Hall '-P 4 2'
_cell_length_a 5.500
_cell_length_b 5.500
_cell_length_c 5.634
_cell_angle_alpha 90.00
_cell_angle_beta 90.00
_cell_angle_gamma 90.00
loop_
_atom_site_label
_atom_site_type_symbol
_atom_site_fract_x
_atom_site_fract_y
_atom_site_fract_z
La1 La 0.000 0.000 0.000
Hg1 Hg 0.500 0.500 0.500
Sb1 Sb 0.000 0.500 0.500
Te1 Te 0.500 0.500 0.000
# - Total magnetization: 0.00 μB per formula unit
# - Theoretical density: 6.9 g/cm³

#two is favored, and the nearest alternative lies 459 meV/atom above it.

#one
# PBE LaHgSbTe2, optimized geometry
data_LaHgSbTe2
_symmetry_space_group_name_H-M 'P 4/m m m'
_symmetry_Int_Tables_number 123
_symmetry_space_group_name_Hall '-P 4 2'
_cell_length_a 6.150
_cell_length_b 6.150
_cell_length_c 6.349
_cell_angle_alpha 90.00
_cell_angle_beta 90.00
_cell_angle_gamma 90.00
loop_
_atom_site_label
_atom_site_type_symbol
_atom_site_fract_x
_atom_site_fract_y
_atom_site_fract_z
La1 La 0.000 0.000 0.000
Hg1 Hg 0.500 0.500 0.500
Sb1 Sb 0.000 0.000 0.500
Te1 Te 0.000 0.500 0.000
# - Total magnetization: 1.02 μB per formula unit
# - Theoretical density: 5.0 g/cm³

#two
# PBE LaHgSbTe2, optimized geometry
data_LaHgSbTe2
_symmetry_space_group_name_H-M 'P 4/m m m'
_symmetry_Int_Tables_number 123
_symmetry_space_group_name_Hall '-P 4 2'
_cell_length_a 5.599
_cell_length_b 5.599
_cell_length_c 5.500
_cell_angle_alpha 90.00
_cell_angle_beta 90.00
_cell_angle_gamma 90.00
loop_
_atom_site_label
_atom_site_type_symbol
_atom_site_fract_x
_atom_site_fract_y
_atom_site_fract_z
La1 La 0.000 0.000 0.000
Hg1 Hg 0.500 0.500 0.500
Sb1 Sb 0.500 0.500 0.000
Te1 Te 0.000 0.500 0.500
# - Total magnetization: 0.00 μB per formula unit
# - Theoretical density: 6.9 g/cm³

#two is favored, and the nearest alternative lies 107 meV/atom above it.